A relaxed structure of CoBiOsPd. Source: OQMD via LeMat-Bulk, functional PBE.

Geometry as extended XYZ:
```
4
Lattice="-1.967 -3.241 2.459 -3.208 1.071 2.997 -4.301 -1.140 -0.790" Properties=species:S:1:pos:R:3 pbc="T T T"
Bi 0.000 0.000 0.000
Co -7.107 -2.482 3.500
Os -2.369 -0.827 1.167
Pd -4.738 -1.655 2.333
```

Its calculated density is 14.37 Mg/m³.

=====

A relaxed structure of Cs2InAgBr6. Source: OQMD via LeMat-Bulk, functional PBE.

Geometry as extended XYZ:
```
10
Lattice="6.366 2.310 4.038 0.987 7.616 1.783 -0.734 2.428 7.465" Properties=species:S:1:pos:R:3 pbc="T T T"
Br 1.243 4.261 7.063
Cs 1.655 3.089 3.322
Br 4.497 5.442 9.127
Br 5.376 8.094 6.223
Ag 3.310 6.178 6.643
Br 4.872 4.201 5.312
In 0.000 0.000 0.000
Br 2.123 6.913 4.159
Br 1.748 8.154 7.975
Cs 4.965 9.266 9.965
```

Its calculated density is 4.64 Mg/m³.

=====

A relaxed structure of La2TbMg3Pt2Au. Source: OQMD via LeMat-Bulk, functional PBE.

Geometry as extended XYZ:
```
9
Lattice="-0.776 1.299 3.853 -5.165 -5.555 0.834 7.290 -1.237 1.884" Properties=species:S:1:pos:R:3 pbc="T T T"
La -2.101 -6.072 1.624
Mg 2.963 -4.771 4.429
Tb 1.243 -3.973 1.590
Pt -1.341 -3.463 3.121
Mg 0.143 -1.047 2.606
Mg -0.022 -5.806 4.177
Pt 2.701 -2.061 3.462
Au 2.111 -6.745 2.699
La 5.118 -3.569 2.234
```

Its calculated density is 8.73 Mg/m³.

=====

| no. | calculated total energy (Ry/atom) | calculated volume (Å³ per atom) |
| --- | --- | --- |
| 1 | -0.46335 | 16.3 |
| 2 | -0.21129 | 34.7 |
| 3 | -0.34409 | 23.2 |